[1]
Material: CdBr8
Method: DFT, meta-GGA SCAN
State: PBEsol geometry

The structure in POSCAR format:
```
CdBr8
1.0
2.6821 0.0000 0.0000
1.3410 11.1836 0.0000
1.3410 0.0000 11.1836
Br Cd
8 1
direct
0.6156 0.7687 0.0000
0.6715 0.3285 0.3285
0.3844 0.2313 0.0000
0.0000 0.3285 0.6715
0.3285 0.6715 0.6715
0.6156 0.0000 0.7687
0.0000 0.6715 0.3285
0.3844 0.0000 0.2313
0.0000 0.0000 0.0000
```

## Properties
SG: I4/mmm
Uncorrected formation energy: 0.04 eV per atom

[2]
Material: Cd3Br
Method: DFT, meta-GGA SCAN
State: PBEsol geometry

The structure in POSCAR format:
```
Cd3Br
1.0
-0.8654 -0.0154 3.6269
-2.5544 -4.5390 -0.6288
5.0518 -0.7462 1.2022
Cd Br
3 1
direct
0.0000 0.5000 0.5000
0.5000 0.5000 0.0000
0.5000 0.0000 0.5000
0.0000 0.0000 0.0000
```

## Properties
SG: Cmmm
Uncorrected formation energy: -0.06 eV per atom
ΔE to the lowest computed polymorph: 0.0266 eV per atom

[3]
Material: CdBr2
Method: DFT, meta-GGA SCAN
State: PBEsol geometry

The structure in POSCAR format:
```
CdBr2
1.0
-3.4018 1.3844 -1.4841
-2.8569 -2.5191 -1.0878
-7.0174 0.1288 10.9187
Br Cd
4 2
direct
0.7925 0.7925 0.6224
0.6259 0.6259 0.1224
0.3741 0.3741 0.8776
0.2075 0.2075 0.3776
0.5000 0.5000 0.5000
0.0000 0.0000 0.0000
```

## Properties
SG: R-3m
Uncorrected formation energy: -0.98 eV per atom

[4]
Material: CdBr3Cl
Method: DFT, meta-GGA SCAN
State: PBEsol geometry

The structure in POSCAR format:
```
CdBr3Cl
1.0
5.2283 0.0000 0.0000
0.0000 5.2283 0.0000
0.0000 0.0000 5.2283
Br Cl Cd
3 1 1
direct
0.0000 0.0000 0.5000
0.0000 0.5000 0.0000
0.5000 0.0000 0.0000
0.0000 0.0000 0.0000
0.5000 0.5000 0.5000
```

## Properties
SG: Pm-3m
Uncorrected formation energy: 0.30 eV per atom

[5]
Material: CdBrCl2
Method: DFT, meta-GGA SCAN
State: PBEsol geometry

The structure in POSCAR format:
```
CdBrCl2
1.0
-3.6135 -0.6724 0.0567
-1.3457 -2.9606 -1.7138
-0.5697 -6.3559 7.4848
Cd Cl Br
1 2 1
direct
0.5000 0.5000 0.5000
0.7809 0.7809 0.6574
0.2191 0.2191 0.3426
0.0000 0.0000 0.0000
```

## Properties
SG: R-3m
Uncorrected formation energy: -0.70 eV per atom
ΔE to the lowest computed polymorph: 0.0000 eV per atom

[6]
Material: CdBrCl2
Method: DFT, meta-GGA SCAN
State: PBEsol geometry

The structure in POSCAR format:
```
CdBrCl2
1.0
-0.4619 -2.0826 -2.9825
3.0312 -3.9931 2.3188
-4.7365 0.0605 2.9454
Br Cl Cd
1 2 1
direct
0.4314 0.3819 0.8628
0.0911 0.0533 0.1821
0.2546 0.7113 0.5092
0.7229 0.3534 0.4458
```

## Properties
SG: Cm
Uncorrected formation energy: -0.60 eV per atom
ΔE to the lowest computed polymorph: 0.1011 eV per atom

| no. | VASP energy (eV per cell) | calculated density (g/cm³) |
| --- | --- | --- |
| 1 | -185.7 | 3.721 |
| 2 | -111.0 | 7.275 |
| 3 | -144.6 | 5.207 |
| 4 | -95.3 | 4.503 |
| 5 | -68.6 | 3.889 |
| 6 | -68.2 | 4.251 |